YMg9Zn2: relaxed, PBE.

As for the formation energy: -0.6 eV/f.u. As for the crystal system: tetragonal. The value obtained for the size of the total moment is 0.00 Bohr magnetons per cell. The calculation puts the density at 2.744 g cm⁻³.

The structure belongs to space group I4_1/amd (No. 141, origin choice 2); the cell edges are 11.8832, 11.8832 and 7.5170 Å and the angles 90.00°, 90.00° and 90.00°. The inequivalent atoms are Y at (0.0000, 0.2500, 0.3750), Mg at (0.0000, 0.2500, 0.8750), Mg at (0.1217, 0.0530, 0.6802) and Zn at (0.0000, 0.0000, 0.0000).

TaCr2Ni2: relaxed, PBE.

As for the formation energy: 0.8 eV/f.u. As for the crystal system: tetragonal. The value obtained for the size of the total moment is 0.00 Bohr magnetons per cell. As for the energy above the most stable polymorph in this dataset: 0.085 eV/f.u. The calculation puts the density at 10.501 g cm⁻³.

The structure belongs to space group P4/mbm (No. 127); the cell edges are 7.0363, 7.0363 and 2.5699 Å and the angles 90.00°, 90.00° and 90.00°. The inequivalent atoms are Ta at (0.0000, 0.0000, 0.0000), Cr at (0.1140, 0.3860, 0.0000) and Ni at (0.1800, 0.6800, 0.5000).

K8Rb: relaxed, PBE.

As for the formation energy: 0.0 eV/f.u. As for the crystal system: tetragonal. The value obtained for the size of the total moment is 0.00 Bohr magnetons per cell. The calculation puts the density at 0.999 g cm⁻³.

The structure belongs to space group I4/mmm (No. 139); the cell edges are 16.1219, 16.1219 and 5.0963 Å and the angles 90.00°, 90.00° and 90.00°. The inequivalent atoms are K at (0.0000, 0.3338, 0.0000), K at (0.1695, 0.1695, 0.5000) and Rb at (0.0000, 0.0000, 0.0000).

BeCo2Se: relaxed, PBE.

Its uncorrected formation energy is 108.8 meV per atom. As for the crystal system: cubic. The value obtained for the size of the total moment is 6.56 Bohr magnetons per cell. As for the energy above the most stable polymorph in this dataset: 0.137 eV/f.u. The calculation puts the density at 7.696 g cm⁻³.

The structure belongs to space group Fm-3m (No. 225); the cell edges are 5.6215, 5.6215 and 5.6215 Å and the angles 90.00°, 90.00° and 90.00°. The inequivalent atoms are Be at (0.0000, 0.0000, 0.0000), Co at (0.2500, 0.2500, 0.2500) and Se at (0.0000, 0.0000, 0.5000).

Tl3PbSe3: relaxed, PBE.

Its uncorrected formation energy is -300.0 meV per atom. As for the crystal system: monoclinic. The value obtained for the size of the total moment is 0.00 Bohr magnetons per cell. As for the energy above the most stable polymorph in this dataset: 0.332 eV/f.u. The calculation puts the density at 7.132 g cm⁻³.

The structure belongs to space group C2/m (No. 12); the cell edges are 9.2448, 13.8096 and 7.7551 Å and the angles 90.00°, 96.04° and 90.00°. The inequivalent atoms are Tl at (0.0000, 0.1932, 0.0000), Tl at (0.0000, 0.2305, 0.5000), Tl at (0.1459, 0.5000, 0.9066), Pb at (0.2037, 0.0000, 0.6108), Se at (0.0685, 0.0000, 0.2486) and Se at (0.1813, 0.3335, 0.2234).

DyFeRu: relaxed, PBE.

As for the formation energy: -0.6 eV/f.u. As for the crystal system: trigonal. The value obtained for the size of the total moment is 25.45 Bohr magnetons per cell. The calculation puts the density at 10.354 g cm⁻³.

The structure belongs to space group R-3m (No. 166, hexagonal axes); the cell edges are 5.2767, 5.2767 and 38.2416 Å and the angles 90.00°, 90.00° and 120.00°. The inequivalent atoms are Dy at (0.0000, 0.0000, 0.0407), Dy at (0.0000, 0.0000, 0.1816), Dy at (0.0000, 0.0000, 0.2646), Fe at (0.0000, 0.0000, 0.3856), Fe at (0.0000, 0.0000, 0.5000), Fe at (0.0000, 0.5000, 0.0000) and Ru at (0.0017, 0.5009, 0.7772).

Tb7Dy16Ho6: relaxed, PBE.

As for the formation energy: 7.2 eV/f.u. As for the crystal system: cubic. The value obtained for the size of the total moment is 0.00 Bohr magnetons per cell. The calculation puts the density at 8.157 g cm⁻³.

The structure belongs to space group Fm-3m (No. 225); the cell edges are 15.6446, 15.6446 and 15.6446 Å and the angles 90.00°, 90.00° and 90.00°. The inequivalent atoms are Tb at (0.0000, 0.0000, 0.0000), Tb at (0.0000, 0.2500, 0.2500), Dy at (0.1240, 0.1240, 0.1240), Dy at (0.1510, 0.1510, 0.3490) and Ho at (0.0000, 0.0000, 0.2734).

Question: Look up the density of the sixth one.
Answer: 10.354 g cm⁻³

Question: Which formula does entry 4 have?
Answer: BeCo2Se

Question: Look up the size of the total moment of the fourth one.
Answer: 6.56 Bohr magnetons per cell